LaTe2Pt, relaxed, DFT PBE-GGA; uncorrected energy = -41.94 eV/cell; formation energy from raw total energies = -0.930 eV/atom
1.0
-2.763 3.094 -6.826
1.571 -6.875 -3.752
-3.793 -3.042 -4.517
Te Pt La
4 2 2
Direct
0.691 0.125 0.250 Te
0.059 0.625 0.250 Te
0.375 0.309 0.750 Te
0.875 0.941 0.750 Te
0.000 0.000 0.000 Pt
0.750 0.250 0.500 Pt
0.500 0.500 0.000 La
0.250 0.750 0.500 La